DFT (PBE-GGA) results for V3Sn after structural relaxation.

a b c (Å): 4.192 4.192 6.975
angles (deg): 90.00 90.00 90.00
Sites, in units of the cell vectors:
V 0.000 0.000 0.000
V 0.000 0.500 0.250
V 0.000 0.500 0.750
V 0.500 0.000 0.250
V 0.500 0.000 0.750
V 0.500 0.500 0.500
Sn 0.000 0.000 0.500
Sn 0.500 0.500 0.000

DFT (PBE-GGA) results for ZrMn2Tc after structural relaxation.

Output
The value obtained for the offset from the most stable computed form is 4.2 kJ/mol of atoms.

a b c (Å): 2.984 2.984 6.739
angles (deg): 90.00 90.00 90.00
Sites, in units of the cell vectors:
Zr 0.000 0.000 0.000
Mn 0.500 0.500 0.284
Mn 0.500 0.500 0.716
Tc 0.000 0.000 0.500

DFT (PBE-GGA) results for Ca2InHg6 after structural relaxation.

Output
The value obtained for the offset from the most stable computed form is 0.0 kJ/mol of atoms.

a b c (Å): 6.178 6.178 6.116
angles (deg): 91.73 91.73 92.17
Sites, in units of the cell vectors:
Ca 0.177 0.177 0.178
Ca 0.823 0.823 0.822
In 0.500 0.500 0.500
Hg 0.001 0.332 0.668
Hg 0.332 0.001 0.668
Hg 0.332 0.668 0.000
Hg 0.668 0.332 0.000
Hg 0.668 0.999 0.332
Hg 0.999 0.668 0.332

DFT (PBE-GGA) results for CaY3 after structural relaxation.

a b c (Å): 5.137 5.137 5.137
angles (deg): 90.00 90.00 90.00
Sites, in units of the cell vectors:
Ca 0.000 0.000 0.000
Y 0.000 0.500 0.500
Y 0.500 0.000 0.500
Y 0.500 0.500 0.000

DFT (PBE-GGA) results for SmZnAgSn after structural relaxation.

a b c (Å): 7.072 7.072 7.072
angles (deg): 90.00 90.00 90.00
Sites, in units of the cell vectors:
Sm 0.000 0.000 0.000
Sm 0.000 0.500 0.500
Sm 0.500 0.000 0.500
Sm 0.500 0.500 0.000
Zn 0.250 0.250 0.250
Zn 0.250 0.750 0.750
Zn 0.750 0.250 0.750
Zn 0.750 0.750 0.250
Ag 0.250 0.250 0.750
Ag 0.250 0.750 0.250
Ag 0.750 0.250 0.250
Ag 0.750 0.750 0.750
Sn 0.000 0.000 0.500
Sn 0.000 0.500 0.000
Sn 0.500 0.000 0.000
Sn 0.500 0.500 0.500

DFT (PBE-GGA) results for ZrZnCu after structural relaxation.

a b c (Å): 2.853 4.191 8.301
angles (deg): 90.00 90.00 90.00
Sites, in units of the cell vectors:
Zr 0.000 0.000 0.000
Zr 0.500 0.500 0.500
Zn 0.000 0.000 0.333
Zn 0.500 0.500 0.833
Cu 0.000 0.000 0.670
Cu 0.500 0.500 0.170

no.,energy of formation from the pure elements (kcal/mol of atoms)
1,0.94
2,1.61
3,-7.13
4,3.01
5,-7.54
6,-1.19